No. 1
# LaSiS3, optimized geometry, DFT PBE
# Energy above the lowest structure with this stoichiometry: 0.00 eV per formula unit
# E: -119.57 eV for the cell shown
# DOS(E_F): 0.00 states/eV/atom
# Magnetic moment: 0.000 Bohr magnetons per cell
# E_form (uncorrected): -1432.1 meV/atom
data_LaSiS3
_chemical_formula_sum 'La4 Si4 S12'
_space_group_name_H-M_alt 'P 1 21/c 1'
_space_group_IT_number 14
_cell_length_a 6.7008
_cell_length_b 7.6409
_cell_length_c 11.1763
_cell_angle_alpha 90.00
_cell_angle_beta 124.58
_cell_angle_gamma 90.00
loop_
_space_group_symop_operation_xyz
'x,y,z'
'-x,-y,-z'
'-x,y+1/2,-z+1/2'
'x,-y+1/2,z+1/2'
loop_
_atom_site_label
_atom_site_type_symbol
_atom_site_fract_x
_atom_site_fract_y
_atom_site_fract_z
La1 La 0.2143 0.1259 0.2522
Si1 Si 0.1455 0.6023 0.0689
S1 S 0.0640 0.1858 0.9300
S2 S 0.2892 0.6834 0.9494
S3 S 0.4064 0.0124 0.7727


No. 2
# Mo3P, optimized geometry, DFT PBE
# Energy above the lowest structure with this stoichiometry: 1.74 eV per formula unit
# E_form: 0.29 eV/f.u.
# E: -150.44 eV for the cell shown
# DOS(E_F): 0.53 states/eV/atom
# Magnetic moment: 0.000 Bohr magnetons per cell
data_Mo3P
_chemical_formula_sum 'Mo12 P4'
_space_group_name_H-M_alt 'P 63/m m c'
_space_group_IT_number 194
_space_group_name_Hall '-P 6c 2c'
_cell_length_a 5.3387
_cell_length_b 5.3387
_cell_length_c 9.6091
_cell_angle_alpha 90.00
_cell_angle_beta 90.00
_cell_angle_gamma 120.00
loop_
_atom_site_label
_atom_site_type_symbol
_atom_site_fract_x
_atom_site_fract_y
_atom_site_fract_z
Mo1 Mo 0.0000 0.5000 0.0000
Mo2 Mo 0.1653 0.3306 0.2500
P1 P 0.0000 0.0000 0.0000
P2 P 0.3333 0.6667 0.7500


No. 3
# Ho6Ga3H, optimized geometry, DFT PBE
# E: -175.41 eV for the cell shown
# DOS(E_F): 1.14 states/eV/atom
# Magnetic moment: 0.000 Bohr magnetons per cell
data_Ho6Ga3H
_chemical_formula_sum 'Ho24 Ga12 H4'
_space_group_name_H-M_alt 'C m c 21'
_space_group_IT_number 36
_cell_length_a 11.4500
_cell_length_b 13.5299
_cell_length_c 6.1083
_cell_angle_alpha 90.00
_cell_angle_beta 90.00
_cell_angle_gamma 90.00
loop_
_space_group_symop_operation_xyz
'x,y,z'
'-x,-y,z+1/2'
'-x,y,z'
'x,-y,z+1/2'
'x+1/2,y+1/2,z'
'-x+1/2,-y+1/2,z+1/2'
'-x+1/2,y+1/2,z'
'x+1/2,-y+1/2,z+1/2'
loop_
_atom_site_label
_atom_site_type_symbol
_atom_site_fract_x
_atom_site_fract_y
_atom_site_fract_z
Ho1 Ho 0.0000 0.0873 0.0000
Ho2 Ho 0.0000 0.3044 0.2782
Ho3 Ho 0.1724 0.2947 0.7847
Ho4 Ho 0.2252 0.4556 0.3211
Ga1 Ga 0.0000 0.4835 0.5840
Ga2 Ga 0.1111 0.1209 0.4828
H1 H 0.0000 0.2525 0.9370


No. 4
# AcSm12Co6, optimized geometry, DFT PBE
# E_form: -1.35 eV/f.u.
# E: -209.46 eV for the cell shown
# DOS(E_F): 0.84 states/eV/atom
# Magnetic moment: 0.000 Bohr magnetons per cell
data_AcSm12Co6
_chemical_formula_sum 'Ac2 Sm24 Co12'
_space_group_name_H-M_alt 'I m -3'
_space_group_IT_number 204
_space_group_name_Hall '-I 2 2 3'
_cell_length_a 10.0490
_cell_length_b 10.0490
_cell_length_c 10.0490
_cell_angle_alpha 90.00
_cell_angle_beta 90.00
_cell_angle_gamma 90.00
loop_
_atom_site_label
_atom_site_type_symbol
_atom_site_fract_x
_atom_site_fract_y
_atom_site_fract_z
Ac1 Ac 0.0000 0.0000 0.0000
Sm1 Sm 0.0000 0.3131 0.1953
Co1 Co 0.0000 0.1112 0.5000


No. 5
# SrCrMo3, optimized geometry, DFT PBE
# Energy above the lowest structure with this stoichiometry: 0.00 eV per formula unit
# E_form: 5.71 eV/f.u.
# E: -38.09 eV for the cell shown
# DOS(E_F): 1.06 states/eV/atom
# Magnetic moment: 0.000 Bohr magnetons per cell
data_SrCrMo3
_chemical_formula_sum 'Sr1 Cr1 Mo3'
_space_group_name_H-M_alt 'P m -3 m'
_space_group_IT_number 221
_space_group_name_Hall '-P 4 2 3'
_cell_length_a 4.6810
_cell_length_b 4.6810
_cell_length_c 4.6810
_cell_angle_alpha 90.00
_cell_angle_beta 90.00
_cell_angle_gamma 90.00
loop_
_atom_site_label
_atom_site_type_symbol
_atom_site_fract_x
_atom_site_fract_y
_atom_site_fract_z
Sr1 Sr 0.0000 0.0000 0.0000
Cr1 Cr 0.5000 0.5000 0.5000
Mo1 Mo 0.0000 0.5000 0.5000


No. 6
# LaP2Se, optimized geometry, DFT PBE
# E: -45.09 eV for the cell shown
# DOS(E_F): 0.08 states/eV/atom
# Magnetic moment: 0.000 Bohr magnetons per cell
# E_form (uncorrected): -828.5 meV/atom
data_LaP2Se
_chemical_formula_sum 'La2 P4 Se2'
_space_group_name_H-M_alt 'C 1 m 1'
_space_group_IT_number 8
_cell_length_a 10.7969
_cell_length_b 4.2390
_cell_length_c 4.1275
_cell_angle_alpha 90.00
_cell_angle_beta 91.46
_cell_angle_gamma 90.00
loop_
_space_group_symop_operation_xyz
'x,y,z'
'x,-y,z'
'x+1/2,y+1/2,z'
'x+1/2,-y+1/2,z'
loop_
_atom_site_label
_atom_site_type_symbol
_atom_site_fract_x
_atom_site_fract_y
_atom_site_fract_z
La1 La 0.0000 0.0000 0.0000
P1 P 0.2229 0.0000 0.5664
P2 P 0.4221 0.0000 0.4906
Se1 Se 0.2147 0.5000 0.8719


No. 7
# Sr3CaF8, optimized geometry, DFT PBE
# E: -138.62 eV for the cell shown
# DOS(E_F): 0.00 states/eV/atom
# Magnetic moment: 0.000 Bohr magnetons per cell
# E_form (uncorrected): -3940.9 meV/atom
data_Sr3CaF8
_chemical_formula_sum 'Sr6 Ca2 F16'
_space_group_name_H-M_alt 'I 4/m m m'
_space_group_IT_number 139
_space_group_name_Hall '-I 4 2'
_cell_length_a 5.7745
_cell_length_b 5.7745
_cell_length_c 11.5475
_cell_angle_alpha 90.00
_cell_angle_beta 90.00
_cell_angle_gamma 90.00
loop_
_atom_site_label
_atom_site_type_symbol
_atom_site_fract_x
_atom_site_fract_y
_atom_site_fract_z
Sr1 Sr 0.0000 0.0000 0.0000
Sr2 Sr 0.0000 0.5000 0.2500
Ca1 Ca 0.0000 0.0000 0.5000
F1 F 0.2432 0.2432 0.3780


No. 8
# Tb2HfSi4Pt3, optimized geometry, DFT PBE
# E: -69.21 eV for the cell shown
# DOS(E_F): 0.39 states/eV/atom
# Magnetic moment: 0.000 Bohr magnetons per cell
# E_form (uncorrected): -1018.2 meV/atom
data_Tb2HfSi4Pt3
_chemical_formula_sum 'Tb2 Hf1 Si4 Pt3'
_space_group_name_H-M_alt 'P -4 m 2'
_space_group_IT_number 115
_cell_length_a 4.1674
_cell_length_b 4.1674
_cell_length_c 10.5529
_cell_angle_alpha 90.00
_cell_angle_beta 90.00
_cell_angle_gamma 90.00
loop_
_space_group_symop_operation_xyz
'x,y,z'
'y,-x,-z'
'-x,-y,z'
'-y,x,-z'
'-x,y,z'
'-y,-x,-z'
'x,-y,z'
'y,x,-z'
loop_
_atom_site_label
_atom_site_type_symbol
_atom_site_fract_x
_atom_site_fract_y
_atom_site_fract_z
Tb1 Tb 0.0000 0.5000 0.2372
Hf1 Hf 0.0000 0.0000 0.5000
Si1 Si 0.0000 0.0000 0.0000
Si2 Si 0.0000 0.5000 0.6537
Si3 Si 0.5000 0.5000 0.0000
Pt1 Pt 0.0000 0.5000 0.8824
Pt2 Pt 0.5000 0.5000 0.5000


No. 9
# LaNi2As, optimized geometry, DFT PBE
# E_form: -0.86 eV/f.u.
# E: -22.00 eV for the cell shown
# DOS(E_F): 0.77 states/eV/atom
# Magnetic moment: 0.000 Bohr magnetons per cell
data_LaNi2As
_chemical_formula_sum 'La1 Ni2 As1'
_space_group_name_H-M_alt 'P 4/m m m'
_space_group_IT_number 123
_space_group_name_Hall '-P 4 2'
_cell_length_a 4.3508
_cell_length_b 4.3508
_cell_length_c 3.7560
_cell_angle_alpha 90.00
_cell_angle_beta 90.00
_cell_angle_gamma 90.00
loop_
_atom_site_label
_atom_site_type_symbol
_atom_site_fract_x
_atom_site_fract_y
_atom_site_fract_z
La1 La 0.0000 0.0000 0.0000
Ni1 Ni 0.0000 0.5000 0.5000
As1 As 0.5000 0.5000 0.0000


No. 10
# LiCe2Rh4, optimized geometry, DFT PBE
# Energy above the lowest structure with this stoichiometry: 0.00 eV per formula unit
# E_form: -3.00 eV/f.u.
# E: -92.37 eV for the cell shown
# DOS(E_F): 1.16 states/eV/atom
# Magnetic moment: 0.000 Bohr magnetons per cell
data_LiCe2Rh4
_chemical_formula_sum 'Li2 Ce4 Rh8'
_space_group_name_H-M_alt 'I 4/m m m'
_space_group_IT_number 139
_space_group_name_Hall '-I 4 2'
_cell_length_a 4.0124
_cell_length_b 4.0124
_cell_length_c 17.8451
_cell_angle_alpha 90.00
_cell_angle_beta 90.00
_cell_angle_gamma 90.00
loop_
_atom_site_label
_atom_site_type_symbol
_atom_site_fract_x
_atom_site_fract_y
_atom_site_fract_z
Li1 Li 0.0000 0.0000 0.0000
Ce1 Ce 0.0000 0.0000 0.3695
Rh1 Rh 0.0000 0.0000 0.1423
Rh2 Rh 0.0000 0.5000 0.2500


No. 11
# Ga3SbC, optimized geometry, DFT PBE
# Energy above the lowest structure with this stoichiometry: 0.00 eV per formula unit
# E: -19.73 eV for the cell shown
# DOS(E_F): 0.25 states/eV/atom
# Magnetic moment: 0.000 Bohr magnetons per cell
# E_form (uncorrected): 538.8 meV/atom
data_Ga3SbC
_chemical_formula_sum 'Ga3 Sb1 C1'
_space_group_name_H-M_alt 'P m -3 m'
_space_group_IT_number 221
_space_group_name_Hall '-P 4 2 3'
_cell_length_a 4.4475
_cell_length_b 4.4475
_cell_length_c 4.4475
_cell_angle_alpha 90.00
_cell_angle_beta 90.00
_cell_angle_gamma 90.00
loop_
_atom_site_label
_atom_site_type_symbol
_atom_site_fract_x
_atom_site_fract_y
_atom_site_fract_z
Ga1 Ga 0.0000 0.0000 0.5000
Sb1 Sb 0.5000 0.5000 0.5000
C1 C 0.0000 0.0000 0.0000


No. 12
# CeZnTcH6, optimized geometry, DFT PBE
# E: -39.62 eV for the cell shown
# DOS(E_F): 0.47 states/eV/atom
# Magnetic moment: 0.490 Bohr magnetons per cell
data_CeZnTcH6
_chemical_formula_sum 'Ce1 Zn1 Tc1 H6'
_space_group_name_H-M_alt 'P -6 m 2'
_space_group_IT_number 187
_space_group_name_Hall 'P -6 2'
_cell_length_a 4.6041
_cell_length_b 4.6041
_cell_length_c 4.4704
_cell_angle_alpha 90.00
_cell_angle_beta 90.00
_cell_angle_gamma 120.00
loop_
_atom_site_label
_atom_site_type_symbol
_atom_site_fract_x
_atom_site_fract_y
_atom_site_fract_z
Ce1 Ce 0.0000 0.0000 0.0000
Zn1 Zn 0.3333 0.6667 0.5000
Tc1 Tc 0.6667 0.3333 0.5000
H1 H 0.5115 0.0230 0.2224


> Which formula does entry 8 have?

Tb2HfSi4Pt3


> Number 5 is which compound?

SrCrMo3